Here is an optimized crystal structure of Te2BrO from the Alexandria database. Energies are from PBE-GGA.

abc: 5.8615 5.8615 10.6456
angles: 90.00 90.00 120.00
Space group R-3m (No. 166, hexagonal axes)
Unique sites:
Te 0.0000 0.0000 0.1826 (multiplicity 6)
Br 0.0000 0.0000 0.5000 (multiplicity 3)
O 0.0000 0.0000 0.0000 (multiplicity 3)

Output
raw formation energy	-0.02	eV/atom
crystal system	trigonal
calculated volume	106	Å³/f.u.

---

Here is an optimized crystal structure of Te2BrO from the Alexandria database. Energies are from PBE-GGA.

abc: 3.3423 3.3423 27.3755
angles: 90.00 90.00 120.00
Space group R-3m (No. 166, hexagonal axes)
Unique sites:
Te 0.0000 0.0000 0.1019 (multiplicity 6)
Br 0.0000 0.0000 0.0000 (multiplicity 3)
O 0.0000 0.0000 0.5000 (multiplicity 3)

Output
raw formation energy	0.16	eV/atom
crystal system	trigonal
calculated volume	88	Å³/f.u.

---

Here is an optimized crystal structure of TeBr2O from the Alexandria database. Energies are from PBE-GGA.

abc: 6.8666 6.8666 6.8666
angles: 90.00 90.00 90.00
Space group Fm-3m (No. 225)
Unique sites:
Te 0.0000 0.0000 0.0000 (multiplicity 4)
Br 0.2500 0.2500 0.2500 (multiplicity 8)
O 0.0000 0.0000 0.5000 (multiplicity 4)

Output
raw formation energy	0.72	eV/atom
crystal system	cubic
calculated volume	81	Å³/f.u.

---

Here is an optimized crystal structure of Te2BrO3 from the Alexandria database. Energies are from PBE-GGA.

abc: 15.6530 4.1299 9.2042
angles: 90.00 123.41 90.00
Space group C2/m (No. 12)
Unique sites:
Te 0.0619 0.0000 0.2038 (multiplicity 4)
Te 0.2493 0.0000 0.7544 (multiplicity 4)
Br 0.0971 0.5000 0.8137 (multiplicity 4)
O 0.1090 0.5000 0.2069 (multiplicity 4)
O 0.1656 0.0000 0.5158 (multiplicity 4)
O 0.1974 0.0000 0.2198 (multiplicity 4)

Output
raw formation energy	-0.75	eV/atom
crystal system	monoclinic
calculated volume	124	Å³/f.u.

---

Here is an optimized crystal structure of TeBr2O from the Alexandria database. Energies are from PBE-GGA.

abc: 6.8543 6.8543 9.7508
angles: 90.00 90.00 90.00
Space group I4_1/amd (No. 141, origin choice 2)
Unique sites:
Te 0.0000 0.2500 0.3750 (multiplicity 4)
Br 0.0000 0.0000 0.0000 (multiplicity 8)
O 0.0000 0.2500 0.8750 (multiplicity 4)

Output
raw formation energy	0.63	eV/atom
crystal system	tetragonal
calculated volume	115	Å³/f.u.

---

Here is an optimized crystal structure of TeBr3O from the Alexandria database. Energies are from PBE-GGA.

abc: 3.2807 9.3156 25.4520
angles: 90.00 90.47 90.00
Space group P2/c (No. 13)
Unique sites:
Te 0.2423 0.1395 0.1425 (multiplicity 4)
Br 0.2414 0.1552 0.6239 (multiplicity 4)
Br 0.2437 0.4304 0.1662 (multiplicity 4)
Br 0.2633 0.1928 0.4525 (multiplicity 4)
O 0.2548 0.1148 0.3122 (multiplicity 4)

Output
raw formation energy	-0.26	eV/atom
crystal system	monoclinic
calculated volume	194	Å³/f.u.

---

Here is an optimized crystal structure of Te3BrO from the Alexandria database. Energies are from PBE-GGA.

abc: 4.9155 4.9155 4.9155
angles: 90.00 90.00 90.00
Space group Pm-3m (No. 221)
Unique sites:
Te 0.0000 0.0000 0.5000 (multiplicity 3)
Br 0.5000 0.5000 0.5000 (multiplicity 1)
O 0.0000 0.0000 0.0000 (multiplicity 1)

Output
raw formation energy	0.33	eV/atom
crystal system	cubic
calculated volume	119	Å³/f.u.

---

Here is an optimized crystal structure of TeBr2O from the Alexandria database. Energies are from PBE-GGA.

abc: 3.7046 3.7046 26.0634
angles: 90.00 90.00 120.00
Space group R-3m (No. 166, hexagonal axes)
Unique sites:
Te 0.0000 0.0000 0.0000 (multiplicity 3)
Br 0.0000 0.0000 0.1017 (multiplicity 6)
O 0.0000 0.0000 0.5000 (multiplicity 3)

Output
raw formation energy	0.58	eV/atom
crystal system	trigonal
calculated volume	103	Å³/f.u.

---

Here is an optimized crystal structure of TeBr3O from the Alexandria database. Energies are from PBE-GGA.

abc: 5.5585 5.5585 5.5585
angles: 90.00 90.00 90.00
Space group Pm-3m (No. 221)
Unique sites:
Te 0.0000 0.0000 0.0000 (multiplicity 1)
Br 0.0000 0.0000 0.5000 (multiplicity 3)
O 0.5000 0.5000 0.5000 (multiplicity 1)

Output
raw formation energy	0.46	eV/atom
crystal system	cubic
calculated volume	172	Å³/f.u.

---

Here is an optimized crystal structure of TeBr2O from the Alexandria database. Energies are from PBE-GGA.

abc: 4.0713 14.4314 4.5419
angles: 90.00 90.00 90.00
Space group Imm2 (No. 44)
Unique sites:
Te 0.0000 0.0000 0.0000 (multiplicity 2)
Br 0.0000 0.3626 0.5576 (multiplicity 4)
O 0.0000 0.0000 0.5998 (multiplicity 2)

Output
raw formation energy	-0.49	eV/atom
crystal system	orthorhombic
calculated volume	133	Å³/f.u.

---

Here is an optimized crystal structure of Te3BrO from the Alexandria database. Energies are from PBE-GGA.

abc: 5.5176 5.5176 5.5176
angles: 90.00 90.00 90.00
Space group Pm-3m (No. 221)
Unique sites:
Te 0.0000 0.0000 0.5000 (multiplicity 3)
Br 0.0000 0.0000 0.0000 (multiplicity 1)
O 0.5000 0.5000 0.5000 (multiplicity 1)

Output
raw formation energy	1.43	eV/atom
crystal system	cubic
calculated volume	168	Å³/f.u.

---

Here is an optimized crystal structure of Te6Br2O11 from the Alexandria database. Energies are from PBE-GGA.

abc: 12.0804 7.0071 15.9508
angles: 90.00 90.00 90.00
Space group Cmcm (No. 63)
Unique sites:
Te 0.0000 0.0652 0.1425 (multiplicity 8)
Te 0.1539 0.3732 0.5849 (multiplicity 16)
Br 0.1661 0.3006 0.2500 (multiplicity 8)
O 0.0000 0.0769 0.7500 (multiplicity 4)
O 0.0000 0.4280 0.6138 (multiplicity 8)
O 0.1196 0.0850 0.5967 (multiplicity 16)
O 0.1490 0.3347 0.0349 (multiplicity 16)

Output
raw formation energy	-0.93	eV/atom
crystal system	orthorhombic
calculated volume	338	Å³/f.u.

---

Here is an optimized crystal structure of TeBr3O from the Alexandria database. Energies are from PBE-GGA.

abc: 4.8304 4.8304 4.8304
angles: 90.00 90.00 90.00
Space group Pm-3m (No. 221)
Unique sites:
Te 0.0000 0.0000 0.0000 (multiplicity 1)
Br 0.0000 0.5000 0.5000 (multiplicity 3)
O 0.5000 0.5000 0.5000 (multiplicity 1)

Output
raw formation energy	0.62	eV/atom
crystal system	cubic
calculated volume	113	Å³/f.u.

---

Here is an optimized crystal structure of TeBrO from the Alexandria database. Energies are from PBE-GGA.

abc: 13.3761 4.2025 6.4659
angles: 90.00 118.00 90.00
Space group C2/m (No. 12)
Unique sites:
Te 0.1353 0.0000 0.3839 (multiplicity 4)
Br 0.1066 0.0000 0.8554 (multiplicity 4)
O 0.1863 0.5000 0.4357 (multiplicity 4)

Output
raw formation energy	-0.46	eV/atom
crystal system	monoclinic
calculated volume	80	Å³/f.u.

---

Here is an optimized crystal structure of TeBrO from the Alexandria database. Energies are from PBE-GGA.

abc: 5.9712 6.0042 6.2608
angles: 109.25 101.03 116.63
Space group P1 (No. 1)
Unique sites:
Te 0.0000 0.0000 0.0000 (multiplicity 1)
Te 0.0378 0.5361 0.5003 (multiplicity 1)
Br 0.0195 0.5010 0.9825 (multiplicity 1)
Br 0.5178 0.4985 0.4806 (multiplicity 1)
O 0.2281 0.9265 0.7049 (multiplicity 1)
O 0.8179 0.0230 0.2112 (multiplicity 1)

Output
raw formation energy	-0.26	eV/atom
crystal system	triclinic
calculated volume	87	Å³/f.u.

---

Here is an optimized crystal structure of Te2BrO2 from the Alexandria database. Energies are from PBE-GGA.

abc: 4.7382 8.0009 6.8298
angles: 90.00 108.27 90.00
Space group C2/m (No. 12)
Unique sites:
Te 0.1633 0.0000 0.3482 (multiplicity 4)
Br 0.0000 0.5000 0.0000 (multiplicity 2)
O 0.0000 0.3424 0.5000 (multiplicity 4)

Output
raw formation energy	-0.44	eV/atom
crystal system	monoclinic
calculated volume	123	Å³/f.u.

---

Here is an optimized crystal structure of Te2BrO4 from the Alexandria database. Energies are from PBE-GGA.

abc: 6.8332 7.2299 7.6826
angles: 62.55 81.62 74.63
Space group P1 (No. 1)
Unique sites:
Te 0.0000 0.0000 0.0000 (multiplicity 1)
Te 0.0250 0.9952 0.4046 (multiplicity 1)
Te 0.4562 0.9045 0.5868 (multiplicity 1)
Te 0.8064 0.5169 0.5729 (multiplicity 1)
Br 0.2449 0.3947 0.7835 (multiplicity 1)
Br 0.6245 0.4369 0.3521 (multiplicity 1)
O 0.1255 0.8030 0.2884 (multiplicity 1)
O 0.2321 0.7574 0.6467 (multiplicity 1)
O 0.2484 0.1272 0.3664 (multiplicity 1)
O 0.2504 0.0900 0.8765 (multiplicity 1)
O 0.6247 0.5944 0.7574 (multiplicity 1)
O 0.6367 0.8502 0.3916 (multiplicity 1)
O 0.8356 0.2107 0.7626 (multiplicity 1)
O 0.9199 0.1905 0.1222 (multiplicity 1)

Output
raw formation energy	-0.74	eV/atom
crystal system	triclinic
calculated volume	162	Å³/f.u.

---

Here is an optimized crystal structure of ThTeBrO4 from the Alexandria database. Energies are from PBE-GGA.

abc: 10.7954 7.3287 7.0360
angles: 90.00 99.81 90.00
Space group C2/m (No. 12)
Unique sites:
Th 0.2322 0.0000 0.1302 (multiplicity 4)
Te 0.1254 0.5000 0.2993 (multiplicity 4)
Br 0.0259 0.0000 0.7602 (multiplicity 4)
O 0.0564 0.5000 0.7984 (multiplicity 4)
O 0.1918 0.3174 0.1470 (multiplicity 8)
O 0.2472 0.5000 0.5391 (multiplicity 4)

Output
raw formation energy	-1.88	eV/atom
crystal system	monoclinic
calculated volume	137	Å³/f.u.

---

Here is an optimized crystal structure of TlTeBrO4 from the Alexandria database. Energies are from PBE-GGA.

abc: 10.6126 7.4167 6.9194
angles: 90.00 108.64 90.00
Space group C2/m (No. 12)
Unique sites:
Tl 0.2328 0.0000 0.1152 (multiplicity 4)
Te 0.1308 0.5000 0.2825 (multiplicity 4)
Br 0.0393 0.0000 0.7612 (multiplicity 4)
O 0.0419 0.5000 0.7107 (multiplicity 4)
O 0.1664 0.3125 0.1277 (multiplicity 8)
O 0.2478 0.0000 0.4553 (multiplicity 4)

Output
raw formation energy	-0.54	eV/atom
crystal system	monoclinic
calculated volume	129	Å³/f.u.

---

Here is an optimized crystal structure of Tm3TeBr2O6 from the Alexandria database. Energies are from PBE-GGA.

abc: 11.6609 6.5812 5.6909
angles: 90.00 102.35 90.00
Space group C2/m (No. 12)
Unique sites:
Tm 0.0000 0.0000 0.0000 (multiplicity 2)
Tm 0.2500 0.2500 0.5000 (multiplicity 4)
Te 0.0000 0.5000 0.5000 (multiplicity 2)
Br 0.2115 0.0000 0.8593 (multiplicity 4)
O 0.0609 0.2508 0.2959 (multiplicity 8)
O 0.1744 0.5000 0.6590 (multiplicity 4)

Output
raw formation energy	-2.14	eV/atom
crystal system	monoclinic
calculated volume	213	Å³/f.u.